[1]
The following is a GGA-PBE calculation of H2Br2F after structural relaxation, from Alexandria via LeMat-Bulk.

Calculated values
The calculation puts the total energy at -2.03 eV/atom. As for the energy above the most stable polymorph in this dataset: 342 meV per atom.

Unit cell a=3.4229 b=3.4229 c=11.5810 alpha=90.00 beta=90.00 gamma=90.00
Space group I4/mmm (No. 139)
Inequivalent atoms, fractional coordinates:
H: 0.0000 0.5000 0.2500 [4 per cell]
Br: 0.0000 0.0000 0.1466 [4 per cell]
F: 0.0000 0.0000 0.5000 [2 per cell]

---

[2]
The following is a GGA-PBE calculation of HBrF after structural relaxation, from Alexandria via LeMat-Bulk.

Calculated values
The calculation puts the total energy at -3.26 eV/atom. As for the energy above the most stable polymorph in this dataset: 15 meV per atom.

Unit cell a=4.4780 b=5.7091 c=5.8919 alpha=118.83 beta=91.98 gamma=98.98
Space group P-1 (No. 2)
Inequivalent atoms, fractional coordinates:
H: 0.0572 0.0327 0.2624 [2 per cell]
Br: 0.3807 0.3919 0.2857 [2 per cell]
F: 0.0946 0.1282 0.7882 [2 per cell]

---

[3]
The following is a GGA-PBE calculation of HBrF after structural relaxation, from Alexandria via LeMat-Bulk.

Calculated values
The calculation puts the total energy at -3.13 eV/atom. As for the energy above the most stable polymorph in this dataset: 143 meV per atom.

Unit cell a=2.9237 b=2.9237 c=12.0915 alpha=90.00 beta=90.00 gamma=90.00
Space group I4mm (No. 107)
Inequivalent atoms, fractional coordinates:
H: 0.0000 0.0000 0.0000 [2 per cell]
Br: 0.0000 0.0000 0.8029 [2 per cell]
F: 0.0000 0.0000 0.0782 [2 per cell]

---

[4]
The following is a GGA-PBE calculation of HBr3F after structural relaxation, from Alexandria via LeMat-Bulk.

Calculated values
The calculation puts the total energy at -1.47 eV/atom. As for the energy above the most stable polymorph in this dataset: 0 meV per atom.

Unit cell a=4.4882 b=4.4882 c=4.4882 alpha=90.00 beta=90.00 gamma=90.00
Space group Pm-3m (No. 221)
Inequivalent atoms, fractional coordinates:
H: 0.0000 0.0000 0.0000 [1 per cell]
Br: 0.0000 0.0000 0.5000 [3 per cell]
F: 0.5000 0.5000 0.5000 [1 per cell]

---

[5]
The following is a GGA-PBE calculation of H8Br2F after structural relaxation, from Alexandria via LeMat-Bulk.

Calculated values
The calculation puts the total energy at -3.08 eV/atom.

Unit cell a=4.9866 b=5.6026 c=8.0812 alpha=87.26 beta=74.97 gamma=87.43
Space group P1 (No. 1)
Inequivalent atoms, fractional coordinates:
H: 0.0000 0.0000 0.0000 [1 per cell]
H: 0.0147 0.1510 0.6735 [1 per cell]
H: 0.2296 0.0813 0.1091 [1 per cell]
H: 0.2525 0.8317 0.3455 [1 per cell]
H: 0.3099 0.6179 0.7059 [1 per cell]
H: 0.5970 0.2018 0.4330 [1 per cell]
H: 0.6784 0.1132 0.4752 [1 per cell]
H: 0.9136 0.0968 0.0539 [1 per cell]
Br: 0.1075 0.6432 0.4588 [1 per cell]
Br: 0.4018 0.5799 0.8620 [1 per cell]
F: 0.3603 0.0754 0.1770 [1 per cell]

---

[6]
The following is a GGA-PBE calculation of HBrF after structural relaxation, from Alexandria via LeMat-Bulk.

Calculated values
The calculation puts the total energy at -3.27 eV/atom. As for the energy above the most stable polymorph in this dataset: 0 meV per atom.

Unit cell a=2.6070 b=6.3489 c=7.6404 alpha=86.09 beta=83.62 gamma=89.96
Space group P-1 (No. 2)
Inequivalent atoms, fractional coordinates:
H: 0.1596 0.2498 0.0246 [2 per cell]
Br: 0.4796 0.2454 0.5590 [2 per cell]
F: 0.2093 0.7517 0.9520 [2 per cell]

---

[7]
The following is a GGA-PBE calculation of H2BrF6 after structural relaxation, from Alexandria via LeMat-Bulk.

Calculated values
The calculation puts the total energy at -3.36 eV/atom.

Unit cell a=4.7725 b=3.7906 c=16.4284 alpha=90.00 beta=104.06 gamma=90.00
Space group P2_1/c (No. 14)
Inequivalent atoms, fractional coordinates:
H: 0.0204 0.1602 0.2520 [4 per cell]
Br: 0.5000 0.0000 0.0000 [2 per cell]
F: 0.1436 0.5123 0.4239 [4 per cell]
F: 0.1488 0.5623 0.7642 [4 per cell]
F: 0.3808 0.6378 0.0624 [4 per cell]

---

[8]
The following is a GGA-PBE calculation of HBrF4 after structural relaxation, from Alexandria via LeMat-Bulk.

Calculated values
The calculation puts the total energy at -3.18 eV/atom.

Unit cell a=5.7150 b=10.1840 c=6.9121 alpha=90.00 beta=100.18 gamma=90.00
Space group P2_1/c (No. 14)
Inequivalent atoms, fractional coordinates:
H: 0.0298 0.1342 0.3086 [4 per cell]
Br: 0.4378 0.1791 0.6842 [4 per cell]
F: 0.0863 0.5711 0.2478 [4 per cell]
F: 0.2339 0.2442 0.3980 [4 per cell]
F: 0.3626 0.6132 0.9645 [4 per cell]
F: 0.3801 0.6101 0.6040 [4 per cell]

---

[9]
The following is a GGA-PBE calculation of H3BrF after structural relaxation, from Alexandria via LeMat-Bulk.

Calculated values
The calculation puts the total energy at -2.03 eV/atom. As for the energy above the most stable polymorph in this dataset: 435 meV per atom.

Unit cell a=3.5185 b=3.5185 c=3.5185 alpha=90.00 beta=90.00 gamma=90.00
Space group Pm-3m (No. 221)
Inequivalent atoms, fractional coordinates:
H: 0.0000 0.0000 0.5000 [3 per cell]
Br: 0.5000 0.5000 0.5000 [1 per cell]
F: 0.0000 0.0000 0.0000 [1 per cell]

---

[10]
The following is a GGA-PBE calculation of H3BrF after structural relaxation, from Alexandria via LeMat-Bulk.

Calculated values
The calculation puts the total energy at -2.46 eV/atom. As for the energy above the most stable polymorph in this dataset: 0 meV per atom.

Unit cell a=3.5128 b=3.5128 c=3.5128 alpha=90.00 beta=90.00 gamma=90.00
Space group Pm-3m (No. 221)
Inequivalent atoms, fractional coordinates:
H: 0.0000 0.0000 0.5000 [3 per cell]
Br: 0.0000 0.0000 0.0000 [1 per cell]
F: 0.5000 0.5000 0.5000 [1 per cell]

---

[11]
The following is a GGA-PBE calculation of HBrF after structural relaxation, from Alexandria via LeMat-Bulk.

Calculated values
The calculation puts the total energy at -3.19 eV/atom. As for the energy above the most stable polymorph in this dataset: 79 meV per atom.

Unit cell a=3.9437 b=4.1843 c=6.4766 alpha=90.00 beta=92.14 gamma=90.00
Space group P2_1/m (No. 11)
Inequivalent atoms, fractional coordinates:
H: 0.0167 0.2500 0.0542 [2 per cell]
Br: 0.2504 0.2500 0.4991 [2 per cell]
F: 0.2138 0.7500 0.9929 [2 per cell]

---

[12]
The following is a GGA-PBE calculation of HBrF5 after structural relaxation, from Alexandria via LeMat-Bulk.

Calculated values
The calculation puts the total energy at -3.16 eV/atom.

Unit cell a=4.4851 b=6.8587 c=8.0668 alpha=111.62 beta=94.02 gamma=103.13
Space group P1 (No. 1)
Inequivalent atoms, fractional coordinates:
H: 0.0000 0.0000 0.0000 [1 per cell]
H: 0.4877 0.9698 0.9742 [1 per cell]
Br: 0.4926 0.6620 0.3551 [1 per cell]
Br: 0.4950 0.3161 0.6395 [1 per cell]
F: 0.2009 0.5333 0.1516 [1 per cell]
F: 0.2586 0.4870 0.4727 [1 per cell]
F: 0.2634 0.9155 0.9263 [1 per cell]
F: 0.3770 0.0224 0.4492 [1 per cell]
F: 0.6157 0.5798 0.8313 [1 per cell]
F: 0.6368 0.4331 0.2636 [1 per cell]
F: 0.6753 0.2053 0.7745 [1 per cell]
F: 0.7428 0.7881 0.2389 [1 per cell]
F: 0.8143 0.7639 0.5443 [1 per cell]
F: 0.8308 0.0612 0.0484 [1 per cell]

---

Number 1: calculated density 4.426 Mg/m³. Number 2: calculated density 2.567 Mg/m³. Number 3: calculated density 3.210 Mg/m³. Number 4: calculated density 4.770 Mg/m³. Number 5: calculated density 1.426 Mg/m³. Number 6: calculated density 2.646 Mg/m³. Number 7: calculated density 2.257 Mg/m³. Number 8: calculated density 2.632 Mg/m³. Number 9: calculated density 3.886 Mg/m³. Number 10: calculated density 3.904 Mg/m³. Number 11: calculated density 3.107 Mg/m³. Number 12: calculated density 2.639 Mg/m³.